# 1
A geometry-optimized NaPm2Sn structure, computed with PBE.

Computed properties:
DFT formation energy   -0.331 eV per atom

```
data_NaPm2Sn
_chemical_formula_sum 'Na4 Pm8 Sn4'
_space_group_name_H-M_alt 'F m -3 m'
_space_group_IT_number 225
_space_group_name_Hall '-F 4 2 3'
_cell_length_a 7.713
_cell_length_b 7.713
_cell_length_c 7.713
_cell_angle_alpha 90.00
_cell_angle_beta 90.00
_cell_angle_gamma 90.00
loop_
_atom_site_label
_atom_site_type_symbol
_atom_site_fract_x
_atom_site_fract_y
_atom_site_fract_z
_atom_site_occupancy
Na1 Na 0.000 0.000 0.000 1
Pm1 Pm 0.250 0.250 0.250 1
Sn1 Sn 0.000 0.000 0.500 1
```

---

# 2
A geometry-optimized TlPb2Br2 structure, computed with PBE.

Computed properties:
Polymorph energy (0 for the lowest one)   0.0000 eV per atom

```
data_TlPb2Br2
_chemical_formula_sum 'Tl2 Pb4 Br4'
_space_group_name_H-M_alt 'I 4/m m m'
_space_group_IT_number 139
_space_group_name_Hall '-I 4 2'
_cell_length_a 4.455
_cell_length_b 4.455
_cell_length_c 18.005
_cell_angle_alpha 90.00
_cell_angle_beta 90.00
_cell_angle_gamma 90.00
loop_
_atom_site_label
_atom_site_type_symbol
_atom_site_fract_x
_atom_site_fract_y
_atom_site_fract_z
_atom_site_occupancy
Tl1 Tl 0.000 0.000 0.000 1
Pb1 Pb 0.000 0.500 0.250 1
Br1 Br 0.000 0.000 0.399 1
```

---

# 3
A geometry-optimized Pr4ErTh2 structure, computed with PBE.

Computed properties:
DFT formation energy   0.042 eV per atom

```
data_Pr4ErTh2
_chemical_formula_sum 'Pr12 Er3 Th6'
_space_group_name_H-M_alt 'R -3 m'
_space_group_IT_number 166
_space_group_name_Hall '-R 3 2"'
_cell_length_a 3.6408
_cell_length_b 3.6408
_cell_length_c 62.6446
_cell_angle_alpha 90.00
_cell_angle_beta 90.00
_cell_angle_gamma 120.00
loop_
_atom_site_label
_atom_site_type_symbol
_atom_site_fract_x
_atom_site_fract_y
_atom_site_fract_z
_atom_site_occupancy
Pr1 Pr 0.0000 0.0000 0.0962 1
Pr2 Pr 0.0000 0.0000 0.3797 1
Er1 Er 0.0000 0.0000 0.0000 1
Th1 Th 0.0000 0.0000 0.1895 1
```

---

# 4
A geometry-optimized TbNpOs4 structure, computed with PBE.

Computed properties:
DFT formation energy   -0.108 eV per atom

```
data_TbNpOs4
_chemical_formula_sum 'Tb4 Np4 Os16'
_space_group_name_H-M_alt 'F -4 3 m'
_space_group_IT_number 216
_space_group_name_Hall 'F -4 2 3'
_cell_length_a 7.566
_cell_length_b 7.566
_cell_length_c 7.566
_cell_angle_alpha 90.00
_cell_angle_beta 90.00
_cell_angle_gamma 90.00
loop_
_atom_site_label
_atom_site_type_symbol
_atom_site_fract_x
_atom_site_fract_y
_atom_site_fract_z
_atom_site_occupancy
Tb1 Tb 0.000 0.000 0.000 1
Np1 Np 0.250 0.250 0.750 1
Os1 Os 0.125 0.125 0.375 1
```

---

# 5
A geometry-optimized MgTe structure, computed with PBE.

Computed properties:
Raw total energy   -6.3 eV per formula unit

```
data_MgTe
_chemical_formula_sum 'Mg6 Te6'
_space_group_name_H-M_alt 'P m n 21'
_space_group_IT_number 31
_cell_length_a 12.996
_cell_length_b 4.443
_cell_length_c 7.792
_cell_angle_alpha 90.00
_cell_angle_beta 90.00
_cell_angle_gamma 90.00
loop_
_space_group_symop_operation_xyz
'x,y,z'
'-x+1/2,-y,z+1/2'
'-x,y,z'
'x+1/2,-y,z+1/2'
loop_
_atom_site_label
_atom_site_type_symbol
_atom_site_fract_x
_atom_site_fract_y
_atom_site_fract_z
_atom_site_occupancy
Mg1 Mg 0.000 0.058 0.000 1
Mg2 Mg 0.209 0.346 0.207 1
Te1 Te 0.000 0.558 0.233 1
Te2 Te 0.196 0.154 0.859 1
```

---

# 6
A geometry-optimized BaPu2Ta3N8 structure, computed with PBE.

Computed properties:
Raw total energy   -146.0 eV per formula unit

```
data_BaPu2Ta3N8
_chemical_formula_sum 'Ba3 Pu6 Ta9 N24'
_space_group_name_H-M_alt 'R 3 m'
_space_group_IT_number 160
_space_group_name_Hall 'R 3 -2"'
_cell_length_a 6.5209
_cell_length_b 6.5209
_cell_length_c 16.9852
_cell_angle_alpha 90.00
_cell_angle_beta 90.00
_cell_angle_gamma 120.00
loop_
_atom_site_label
_atom_site_type_symbol
_atom_site_fract_x
_atom_site_fract_y
_atom_site_fract_z
_atom_site_occupancy
Ba1 Ba 0.0000 0.0000 0.0000 1
Pu1 Pu 0.0000 0.0000 0.3689 1
Pu2 Pu 0.0000 0.0000 0.7433 1
Ta1 Ta 0.0071 0.5036 0.8707 1
N1 N 0.0000 0.0000 0.1445 1
N2 N 0.0000 0.0000 0.6031 1
N3 N 0.0376 0.5188 0.1297 1
N4 N 0.1968 0.3937 0.9385 1
```

---

# 7
A geometry-optimized RbLiAgO2 structure, computed with PBE.

Computed properties:
Polymorph energy (0 for the lowest one)   0.7585 eV per atom

```
data_RbLiAgO2
_chemical_formula_sum 'Rb1 Li1 Ag1 O2'
_space_group_name_H-M_alt 'P 4/m m m'
_space_group_IT_number 123
_space_group_name_Hall '-P 4 2'
_cell_length_a 4.289
_cell_length_b 4.289
_cell_length_c 4.459
_cell_angle_alpha 90.00
_cell_angle_beta 90.00
_cell_angle_gamma 90.00
loop_
_atom_site_label
_atom_site_type_symbol
_atom_site_fract_x
_atom_site_fract_y
_atom_site_fract_z
_atom_site_occupancy
Rb1 Rb 0.000 0.000 0.000 1
Li1 Li 0.500 0.500 0.500 1
Ag1 Ag 0.500 0.500 0.000 1
O1 O 0.000 0.500 0.500 1
```

---

# 8
A geometry-optimized SrAcHfO4 structure, computed with PBE.

Computed properties:
Raw total energy   -56.9 eV per formula unit

```
data_SrAcHfO4
_chemical_formula_sum 'Sr2 Ac2 Hf2 O8'
_space_group_name_H-M_alt 'I 4 m m'
_space_group_IT_number 107
_space_group_name_Hall 'I 4 -2'
_cell_length_a 4.139
_cell_length_b 4.139
_cell_length_c 13.100
_cell_angle_alpha 90.00
_cell_angle_beta 90.00
_cell_angle_gamma 90.00
loop_
_atom_site_label
_atom_site_type_symbol
_atom_site_fract_x
_atom_site_fract_y
_atom_site_fract_z
_atom_site_occupancy
Sr1 Sr 0.000 0.000 0.000 1
Ac1 Ac 0.000 0.000 0.305 1
Hf1 Hf 0.000 0.000 0.649 1
O1 O 0.000 0.000 0.488 1
O2 O 0.000 0.000 0.813 1
O3 O 0.000 0.500 0.153 1
```

---

no.,calculated volume (Å³/f.u.)
1,114.71
2,178.65
3,239.72
4,108.29
5,75.00
6,208.50
7,82.01
8,112.23